Ti2CdS | PBE | optimized geometry

Summary:
- energy relative to the lowest polymorph listed for this composition (meV/atom) = 0
- DOS(E_F) (states/eV per cell) = 3.39
- ρ (g cm⁻³) = 5.6
- size of the total moment (Bohr magnetons per cell) = 0.0
- formation energy without anion corrections (eV/atom) = -0.68
- raw total energy (eV/cell) = -23.54

Cell lengths 3.3910, 3.3910, 7.4168 Å; angles 76.79, 76.79, 60.00 degrees
With the nearest neighbours (Å) after each atom.
Fractional coordinates of all 4 atoms:
S  0.0000  0.0000  0.0000  6 Ti 2.35
Ti  0.7271  0.7271  0.8188  3 S 2.35
Ti  0.2729  0.2729  0.1812  3 S 2.35
Cd  0.5000  0.5000  0.5000  6 Ti 3.01